Below is a relaxed CoReNF2 crystal, with properties calculated at the PBE with a Hubbard U level.

Geometry as CIF:
```
data_CoReNF2
_space_group_name_H-M_alt 'P 4/m m m'
_space_group_IT_number 123
_space_group_name_Hall '-P 4 2'
_cell_length_a 3.676
_cell_length_b 3.676
_cell_length_c 4.731
_cell_angle_alpha 90.00
_cell_angle_beta 90.00
_cell_angle_gamma 90.00
loop_
_atom_site_label
_atom_site_type_symbol
_atom_site_fract_x
_atom_site_fract_y
_atom_site_fract_z
_atom_site_occupancy
Co1 Co 0.000 0.000 0.000 1
Re1 Re 0.500 0.500 0.500 1
N1 N 0.000 0.000 0.500 1
F1 F 0.000 0.500 0.000 1
```

Values from the calculation:
For the density of states at the Fermi level, the calculation gives 0.171 states/eV/atom. As for the raw total energy: -5.602 eV/atom. The energy above the lowest structure with this stoichiometry comes out at 387 meV/atom.